Entry 1:
8
Lattice="-3.707 3.707 3.631 3.707 -3.707 3.631 3.707 3.707 -3.631" Properties=species:S:1:pos:R:3 comment="InS2I (GGA-PBEsol, optimized geometry)" e_form_raw_kj_per_mol_fu=29 volume_a3_per_fu=100 pbc="T T T"
In 0.000 0.000 0.000
In 0.000 3.707 1.816
S 5.561 1.407 -0.908
S 1.407 1.854 0.908
S -1.854 2.300 2.723
S 2.300 1.854 4.539
I 3.707 0.000 1.816
I 0.000 0.000 3.631

=====

Entry 2:
4
Lattice="1.975 1.140 7.889 -1.975 1.140 7.889 0.000 -2.281 7.889" Properties=species:S:1:pos:R:3 comment="InS2I (GGA-PBEsol, optimized geometry)" e_form_raw_kj_per_mol_fu=-115 volume_a3_per_fu=107 pbc="T T T"
In 0.000 0.000 0.000
S 0.000 0.000 9.225
S 0.000 0.000 14.443
I 0.000 0.000 11.834

=====

Entry 3:
5
Lattice="4.957 0.000 0.000 0.000 4.957 0.000 0.000 0.000 4.957" Properties=species:S:1:pos:R:3 comment="InS3I (GGA-PBEsol, optimized geometry)" e_form_raw_kj_per_mol_fu=252 volume_a3_per_fu=122 pbc="T T T"
In 0.000 0.000 0.000
S 0.000 0.000 2.478
S 0.000 2.478 0.000
S 2.478 0.000 0.000
I 2.478 2.478 2.478

=====

Entry 4:
4
Lattice="0.000 3.720 3.720 3.720 0.000 3.720 3.720 3.720 0.000" Properties=species:S:1:pos:R:3 comment="In2SI (GGA-PBEsol, optimized geometry)" e_form_raw_kj_per_mol_fu=-39 volume_a3_per_fu=103 pbc="T T T"
In 1.860 1.860 1.860
In 5.580 5.580 5.580
S 0.000 0.000 0.000
I 3.720 3.720 3.720

=====

Entry 5:
5
Lattice="-2.748 2.748 4.985 2.748 -2.748 4.985 2.748 2.748 -4.985" Properties=species:S:1:pos:R:3 comment="In2Sb2I (GGA-PBEsol, optimized geometry)" e_form_raw_kj_per_mol_fu=-71 volume_a3_per_fu=151 pbc="T T T"
In 2.748 0.000 2.493
In 0.000 2.748 2.493
Sb 0.000 0.000 1.409
Sb 0.000 0.000 8.562
I 0.000 0.000 4.985

=====

Entry 6:
5
Lattice="5.492 0.000 0.000 0.000 5.492 0.000 0.000 0.000 6.092" Properties=species:S:1:pos:R:3 comment="SrInSb2I (GGA-PBEsol, optimized geometry)" e_form_raw_kj_per_mol_fu=-56 volume_a3_per_fu=184 pbc="T T T"
Sr 0.000 0.000 0.000
In 2.746 2.746 3.046
Sb 0.000 2.746 3.046
Sb 2.746 0.000 3.046
I 2.746 2.746 0.000

=====

Entry 7:
5
Lattice="5.570 0.000 0.000 0.000 5.570 0.000 0.000 0.000 5.893" Properties=species:S:1:pos:R:3 comment="InSbTeI2 (GGA-PBEsol, optimized geometry)" e_form_raw_kj_per_mol_fu=196 volume_a3_per_fu=183 pbc="T T T"
In 0.000 0.000 0.000
Sb 0.000 0.000 2.946
Te 2.785 2.785 2.946
I 0.000 2.785 0.000
I 2.785 0.000 0.000

=====

Entry 8:
5
Lattice="5.433 0.000 0.000 0.000 5.433 0.000 0.000 0.000 5.370" Properties=species:S:1:pos:R:3 comment="TiInSbI2 (GGA-PBEsol, optimized geometry)" e_form_raw_kj_per_mol_fu=-50 volume_a3_per_fu=158 pbc="T T T"
Ti 0.000 0.000 0.000
In 2.716 2.716 2.685
Sb 0.000 0.000 2.685
I 0.000 2.716 0.000
I 2.716 0.000 0.000

=====

Entry 9:
5
Lattice="5.506 0.000 0.000 0.000 5.506 0.000 0.000 0.000 5.721" Properties=species:S:1:pos:R:3 comment="ZrInSb2I (GGA-PBEsol, optimized geometry)" e_form_raw_kj_per_mol_fu=16 volume_a3_per_fu=173 pbc="T T T"
Zr 0.000 0.000 0.000
In 2.753 2.753 2.860
Sb 0.000 2.753 0.000
Sb 2.753 0.000 0.000
I 0.000 0.000 2.860

=====

Entry 10:
5
Lattice="5.414 0.000 0.000 0.000 5.414 0.000 0.000 0.000 5.581" Properties=species:S:1:pos:R:3 comment="ZrInSb2I (GGA-PBEsol, optimized geometry)" e_form_raw_kj_per_mol_fu=414 volume_a3_per_fu=164 pbc="T T T"
Zr 0.000 0.000 0.000
In 2.707 2.707 2.791
Sb 0.000 2.707 2.791
Sb 2.707 0.000 2.791
I 2.707 2.707 0.000

=====

Entry 11:
4
Lattice="1.722 0.994 10.393 -1.722 0.994 10.393 0.000 -1.988 10.393" Properties=species:S:1:pos:R:3 comment="Sc2InI (GGA-PBEsol, optimized geometry)" e_form_raw_kj_per_mol_fu=-19 volume_a3_per_fu=107 pbc="T T T"
Sc 0.000 0.000 2.933
Sc 0.000 0.000 28.246
In 0.000 0.000 0.000
I 0.000 0.000 15.590

=====

Entry 12:
5
Lattice="-2.540 2.540 5.812 2.540 -2.540 5.812 2.540 2.540 -5.812" Properties=species:S:1:pos:R:3 comment="In2Sn2I (GGA-PBEsol, optimized geometry)" e_form_raw_kj_per_mol_fu=3 volume_a3_per_fu=150 pbc="T T T"
In 2.540 0.000 2.906
In 0.000 2.540 2.906
Sn 0.000 0.000 1.407
Sn 0.000 0.000 10.216
I 0.000 0.000 5.812